Computed, not measured: an optimized crystal structure of Pr2DyErP4 at the GGA-PBE level of DFT.

```
Pr2DyErP4
1.0
7.092 0.000 0.000
0.000 4.100 0.000
-2.366 0.000 6.692
Pr Dy Er P
2 1 1 4
Direct
0.000 0.000 0.000
0.000 0.500 0.500
0.500 0.000 0.500
0.500 0.500 0.000
0.263 0.000 0.755
0.263 0.500 0.253
0.737 0.000 0.245
0.737 0.500 0.747
```

Calculated values
The energy of formation is -1.55 eV/atom. The value obtained for the total magnetization is 0.00 μB/atom.



Computed, not measured: an optimized crystal structure of PrDy2ErP4 at the GGA-PBE level of DFT.

```
PrDy2ErP4
1.0
7.011 0.000 0.000
0.000 4.051 0.000
-2.337 0.000 6.612
Pr Dy Er P
1 2 1 4
Direct
0.000 0.000 0.000
0.000 0.500 0.500
0.500 0.000 0.500
0.500 0.500 0.000
0.256 0.000 0.748
0.259 0.500 0.257
0.741 0.500 0.743
0.744 0.000 0.252
```

Calculated values
The energy of formation is -1.57 eV/atom. The value obtained for the total magnetization is 0.00 μB/atom.



Computed, not measured: an optimized crystal structure of DyEr2PuP4 at the GGA-PBE level of DFT.

```
DyEr2PuP4
1.0
6.885 0.000 0.000
0.000 3.990 0.000
-2.301 0.000 6.494
Dy Er Pu P
1 2 1 4
Direct
0.000 0.000 0.000
0.500 0.000 0.500
0.500 0.500 0.000
0.000 0.500 0.500
0.249 0.000 0.748
0.251 0.500 0.252
0.749 0.500 0.748
0.751 0.000 0.252
```

Calculated values
The energy of formation is -1.49 eV/atom. The value obtained for the total magnetization is 0.61 μB/atom.